The following is a DFT calculation (GGA+U) of crystalline FeIrO3 at its relaxed geometry.

## Properties
VASP energy   -30.18 eV for the cell shown
SG   Pm-3m

Cell lengths 3.8705, 3.8705, 3.8705 Å; angles 90.00, 90.00, 90.00 degrees
Last column: nearest neighbours and their distance in Å.
Fractional coordinates of all 5 atoms:
1 Ir 0.0000 0.0000 0.0000  6 O 1.94
2 Fe 0.5000 0.5000 0.5000  12 O 2.74
3 O 0.0000 0.5000 0.0000  2 Ir 1.94
4 O 0.5000 0.0000 0.0000  2 Ir 1.94
5 O 0.0000 0.0000 0.5000  2 Ir 1.94